{"formula": "HgAsPdO", "functional": "GGA-PBE", "state": "relaxed", "lattice_angstrom": [[4.269, 0.000, 0.000], [0.000, 4.269, 0.000], [0.000, 0.000, 9.146]], "species": ["Hg", "Hg", "As", "As", "Pd", "Pd", "O", "O"], "fractional_positions": [[0.250, 0.750, 0.000], [0.750, 0.250, 0.000], [0.250, 0.250, 0.194], [0.750, 0.750, 0.806], [0.250, 0.250, 0.456], [0.750, 0.750, 0.544], [0.250, 0.750, 0.500], [0.750, 0.250, 0.500]], "dft_energy_ev_per_cell": -29.07, "relative_energy_ev_per_fu": 1.27, "space_group": "P4/nmm (129)"}

***

{"formula": "Pr2ZnHgAs2O2", "functional": "GGA-PBE", "state": "relaxed", "lattice_angstrom": [[4.146, 0.000, 0.000], [0.000, 4.146, 0.000], [0.000, 0.000, 9.126]], "species": ["Pr", "Pr", "Zn", "Hg", "As", "As", "O", "O"], "fractional_positions": [[0.000, 0.500, 0.128], [0.500, 0.000, 0.872], [0.500, 0.500, 0.500], [0.000, 0.000, 0.500], [0.000, 0.500, 0.692], [0.500, 0.000, 0.308], [0.000, 0.000, 0.000], [0.500, 0.500, 0.000]], "dft_energy_ev_per_cell": -43.44, "space_group": "P-4m2 (115)"}

***

{"formula": "HgAsPtO", "functional": "GGA-PBE", "state": "relaxed", "lattice_angstrom": [[4.371, -3.398, 0.000], [4.371, 3.398, 0.000], [-0.170, 0.000, 4.950]], "species": ["Hg", "Hg", "As", "As", "Pt", "Pt", "O", "O"], "fractional_positions": [[0.213, 0.787, 0.000], [0.787, 0.213, 0.000], [0.272, 0.272, 0.992], [0.751, 0.751, 0.490], [0.348, 0.348, 0.493], [0.714, 0.714, 0.988], [0.090, 0.684, 0.495], [0.684, 0.090, 0.495]], "dft_energy_ev_per_cell": -33.87, "relative_energy_ev_per_fu": 0.00, "space_group": "Cm (8)"}

***

{"formula": "HgAsPtO", "functional": "GGA-PBE", "state": "relaxed", "lattice_angstrom": [[4.100, 0.000, 0.000], [0.000, 4.100, 0.000], [0.000, 0.000, 8.431]], "species": ["Hg", "Hg", "As", "As", "Pt", "Pt", "O", "O"], "fractional_positions": [[0.250, 0.750, 0.000], [0.750, 0.250, 0.000], [0.250, 0.250, 0.249], [0.750, 0.750, 0.751], [0.250, 0.250, 0.588], [0.750, 0.750, 0.412], [0.250, 0.750, 0.500], [0.750, 0.250, 0.500]], "dft_energy_ev_per_cell": -28.62, "relative_energy_ev_per_fu": 2.63, "space_group": "P4/nmm (129)"}

***

{"formula": "HgAsPtO", "functional": "GGA-PBE", "state": "relaxed", "lattice_angstrom": [[3.452, 0.000, 0.000], [0.000, 6.850, 0.000], [0.000, 0.000, 6.264]], "species": ["Hg", "Hg", "As", "As", "Pt", "Pt", "O", "O"], "fractional_positions": [[0.000, 0.055, 0.000], [0.000, 0.945, 0.500], [0.000, 0.332, 0.503], [0.000, 0.668, 0.003], [0.500, 0.499, 0.252], [0.500, 0.501, 0.752], [0.500, 0.298, 0.001], [0.500, 0.702, 0.501]], "dft_energy_ev_per_cell": -33.37, "relative_energy_ev_per_fu": 0.25, "space_group": "Pmc2_1 (26)"}

***

{"formula": "HgAsPtO", "functional": "GGA-PBE", "state": "relaxed", "lattice_angstrom": [[4.296, 0.000, 0.000], [0.000, 4.296, 0.000], [0.000, 0.000, 7.919]], "species": ["Hg", "Hg", "As", "As", "Pt", "Pt", "O", "O"], "fractional_positions": [[0.250, 0.250, 0.105], [0.750, 0.750, 0.895], [0.250, 0.250, 0.665], [0.750, 0.750, 0.335], [0.250, 0.750, 0.500], [0.750, 0.250, 0.500], [0.250, 0.750, 0.000], [0.750, 0.250, 0.000]], "dft_energy_ev_per_cell": -32.24, "relative_energy_ev_per_fu": 0.82, "space_group": "P4/nmm (129)"}

***

What did the sixth record say?
{"formula": "HgAsPtO", "functional": "GGA-PBE", "state": "relaxed", "lattice_angstrom": [[4.296, 0.000, 0.000], [0.000, 4.296, 0.000], [0.000, 0.000, 7.919]], "species": ["Hg", "Hg", "As", "As", "Pt", "Pt", "O", "O"], "fractional_positions": [[0.250, 0.250, 0.105], [0.750, 0.750, 0.895], [0.250, 0.250, 0.665], [0.750, 0.750, 0.335], [0.250, 0.750, 0.500], [0.750, 0.250, 0.500], [0.250, 0.750, 0.000], [0.750, 0.250, 0.000]], "dft_energy_ev_per_cell": -32.24, "relative_energy_ev_per_fu": 0.82, "space_group": "P4/nmm (129)"}